*i*
The following is a DFT calculation (PBE) of crystalline BeInI2N at its relaxed geometry.

Cell: 5.975 5.975 4.212 Å, 90.00 90.00 90.00°
Sites, in units of the cell vectors:
Be: 0.000 0.000 0.000
In: 0.500 0.500 0.500
I: 0.000 0.500 0.500
I: 0.500 0.000 0.500
N: 0.500 0.500 0.000



*ii*
The following is a DFT calculation (PBE) of crystalline BeInI2N at its relaxed geometry.

Cell: 6.811 6.811 3.092 Å, 90.00 90.00 90.00°
Sites, in units of the cell vectors:
Be: 0.000 0.000 0.000
In: 0.500 0.500 0.500
I: 0.000 0.500 0.000
I: 0.500 0.000 0.000
N: 0.000 0.000 0.500



Which is most stable, and by how much? *ii*, by 0.902 eV/atom.



*i*
The following is a DFT calculation (PBE) of crystalline BeInIO2 at its relaxed geometry.

Cell: 4.026 4.026 5.957 Å, 90.00 90.00 90.00°
Sites, in units of the cell vectors:
Be: 0.000 0.000 0.000
In: 0.500 0.500 0.500
I: 0.500 0.500 0.000
O: 0.000 0.500 0.500
O: 0.500 0.000 0.500



*ii*
The following is a DFT calculation (PBE) of crystalline BeInIO2 at its relaxed geometry.

Cell: 3.925 3.925 5.294 Å, 90.00 90.00 90.00°
Sites, in units of the cell vectors:
Be: 0.000 0.000 0.000
In: 0.500 0.500 0.500
I: 0.000 0.000 0.500
O: 0.000 0.500 0.000
O: 0.500 0.000 0.000



Which is most stable, and by how much? *ii*, by 0.191 eV/atom.



*i*
The following is a DFT calculation (PBE) of crystalline BeInSb2I at its relaxed geometry.

Cell: 4.920 4.920 5.918 Å, 90.00 90.00 90.00°
Sites, in units of the cell vectors:
Be: 0.000 0.000 0.000
In: 0.500 0.500 0.500
Sb: 0.000 0.500 0.000
Sb: 0.500 0.000 0.000
I: 0.000 0.000 0.500



*ii*
The following is a DFT calculation (PBE) of crystalline BeInSb2I at its relaxed geometry.

Cell: 5.690 5.690 5.942 Å, 90.00 90.00 90.00°
Sites, in units of the cell vectors:
Be: 0.000 0.000 0.000
In: 0.500 0.500 0.500
Sb: 0.000 0.500 0.500
Sb: 0.500 0.000 0.500
I: 0.500 0.500 0.000



Which is most stable, and by how much? *i*, by 0.791 eV/atom.